# 1
K3ErIn2O6 | GGA-PBE | relaxed

Output
Fermi-level density of states = 0.00 states/eV per atom
Crystal system = monoclinic
ΔE_f (raw) = -1.961 eV/atom

```
K3ErIn2O6
1.0
2.929 -5.073 0.000
2.929 5.073 0.000
-1.951 0.000 6.230
K Er In O
3 1 2 6
Cartesian
0.000 0.000 0.000
2.929 1.714 0.000
2.929 -1.714 0.000
1.954 0.000 3.115
1.954 3.383 3.115
1.954 -3.383 3.115
0.967 1.708 1.948
-0.019 0.000 4.285
0.967 -1.708 1.948
2.941 1.708 4.282
3.926 0.000 1.945
2.941 -1.708 4.282
```

=====

# 2
K2ErInO4 | GGA-PBE | relaxed

Output
Fermi-level density of states = 0.00 states/eV per atom
Crystal system = monoclinic
ΔE_f (raw) = -2.164 eV/atom

```
K2ErInO4
1.0
5.877 0.000 0.000
0.000 3.403 0.000
-2.006 0.000 6.241
K Er In O
2 1 1 4
Cartesian
0.000 0.000 0.000
2.939 1.701 0.000
-1.003 1.701 3.120
1.935 0.000 3.120
-0.045 0.000 4.293
0.985 1.701 1.956
2.886 1.701 4.285
3.916 0.000 1.948
```

=====

# 3
K2ErInS4 | GGA-PBE | relaxed

Output
Crystal system = orthorhombic
ΔE_f (raw) = -1.323 eV/atom

```
K2ErInS4
1.0
-4.106 4.129 5.883
4.106 -4.129 5.883
4.106 4.129 -5.883
K Er In S
4 2 2 8
Cartesian
0.000 0.000 0.000
-2.053 2.064 2.941
0.000 4.129 0.000
2.053 2.064 2.941
4.106 0.000 0.000
0.000 0.000 5.883
2.053 2.064 -2.941
2.053 -2.064 2.941
4.106 -0.289 2.782
4.106 3.840 -2.782
2.293 2.064 -0.167
5.918 2.064 -0.167
-1.813 2.064 6.050
1.813 2.064 6.050
0.000 0.289 8.665
0.000 4.418 3.101
```

=====

# 4
K3Er2InS6 | GGA-PBE | relaxed

Output
Fermi-level density of states = 0.00 states/eV per atom
Crystal system = monoclinic
ΔE_f (raw) = -1.538 eV/atom

```
K3Er2InS6
1.0
3.455 -5.985 0.000
3.455 5.985 0.000
-2.304 0.000 7.379
K Er In S
3 2 1 6
Cartesian
0.000 0.000 0.000
3.455 1.996 0.000
3.455 -1.996 0.000
2.303 3.990 3.689
2.303 -3.990 3.689
2.303 0.000 3.689
1.166 1.971 2.215
0.027 0.000 5.163
1.166 -1.971 2.215
3.441 1.971 5.163
4.579 0.000 2.215
3.441 -1.971 5.163
```

=====

# 5
K4Er3InS8 | GGA-PBE | relaxed

Output
Crystal system = trigonal
ΔE_f (raw) = -1.624 eV/atom

```
K4Er3InS8
1.0
3.998 2.308 7.373
-3.998 2.308 7.373
0.000 -4.616 7.373
K Er In S
4 3 1 8
Cartesian
0.000 0.000 0.000
-1.999 -1.154 7.373
-1.999 1.154 14.745
0.000 2.308 7.373
-3.998 0.000 11.059
-1.999 1.154 3.686
1.999 1.154 3.686
0.000 0.000 11.059
0.000 0.000 5.162
-1.979 -1.143 12.532
0.000 -2.285 9.586
-1.979 1.143 9.586
1.979 -1.143 12.532
0.000 2.285 12.532
1.979 1.143 9.586
0.000 0.000 16.956
```

=====

# 6
K2ErInSe4 | GGA-PBE | relaxed

Output
Crystal system = orthorhombic
ΔE_f (raw) = -1.242 eV/atom

```
K2ErInSe4
1.0
-4.292 4.303 6.146
4.292 -4.303 6.146
4.292 4.303 -6.146
K Er In Se
4 2 2 8
Cartesian
0.000 0.000 0.000
-2.146 2.152 3.073
0.000 4.303 0.000
2.146 2.152 3.073
4.292 0.000 0.000
0.000 0.000 6.146
2.146 2.152 -3.073
2.146 -2.152 3.073
4.292 -0.285 2.912
4.292 4.019 -2.912
2.380 2.152 -0.156
6.204 2.152 -0.156
-1.912 2.152 6.303
1.912 2.152 6.303
0.000 0.285 9.058
0.000 4.588 3.235
```

=====

# 7
K3Er3InSe8 | GGA-PBE | relaxed

Output
Fermi-level density of states = 0.59 states/eV per atom
Crystal system = monoclinic
ΔE_f (raw) = -1.428 eV/atom

```
K3Er3InSe8
1.0
7.092 -4.087 0.000
7.092 4.087 0.000
-4.736 0.000 7.900
K Er In Se
3 3 1 8
Cartesian
0.000 0.000 0.000
3.546 2.043 0.000
3.546 -2.043 0.000
1.178 2.043 3.950
1.178 -2.043 3.950
4.724 0.000 3.950
-2.368 0.000 3.950
-0.018 0.000 5.538
3.546 2.052 5.540
2.361 0.000 2.339
5.902 2.052 2.360
3.546 -2.052 5.540
7.087 0.000 5.561
5.902 -2.052 2.360
9.466 0.000 2.362
```

=====

# 8
KErInTe3 | GGA-PBE | relaxed

Output
Fermi-level density of states = 0.43 states/eV per atom
Crystal system = monoclinic
ΔE_f (raw) = -0.963 eV/atom

```
KErInTe3
1.0
9.292 0.000 0.000
0.000 4.283 0.000
-3.561 0.000 11.103
K Er In Te
2 2 2 6
Cartesian
1.116 1.071 3.086
4.614 3.212 8.017
0.357 3.212 9.382
5.373 1.071 1.721
-0.883 1.071 6.333
6.613 3.212 4.770
-1.842 1.071 9.031
1.165 3.212 6.364
3.259 3.212 1.258
2.472 1.071 9.845
4.566 1.071 4.739
7.572 3.212 2.072
```

=====

# 9
K4Er3InTe8 | GGA-PBE | relaxed

Output
Fermi-level density of states = 0.13 states/eV per atom
Crystal system = trigonal
ΔE_f (raw) = -1.173 eV/atom

```
K4Er3InTe8
1.0
4.464 2.577 8.252
-4.464 2.577 8.252
0.000 -5.155 8.252
K Er In Te
4 3 1 8
Cartesian
0.000 0.000 0.000
-2.232 -1.289 8.252
-2.232 1.289 16.504
0.000 2.577 8.252
-4.464 0.000 12.378
-2.232 1.289 4.126
2.232 1.289 4.126
0.000 0.000 12.378
0.000 0.000 5.836
-2.218 -1.281 14.067
0.000 -2.561 10.689
-2.218 1.281 10.689
2.218 -1.281 14.067
0.000 2.561 14.067
2.218 1.281 10.689
0.000 0.000 18.921
```

=====

# 10
K2ErInTe4 | GGA-PBE | relaxed

Output
Fermi-level density of states = 0.00 states/eV per atom
Crystal system = tetragonal
ΔE_f (raw) = -0.955 eV/atom

```
K2ErInTe4
1.0
8.795 0.000 0.000
0.000 8.795 0.000
0.000 0.000 7.509
K Er In Te
4 2 2 8
Cartesian
0.000 4.398 0.000
0.000 4.398 3.755
4.398 0.000 0.000
4.398 0.000 3.755
0.000 0.000 0.000
4.398 4.398 3.755
0.000 0.000 3.755
4.398 4.398 0.000
1.573 1.573 1.958
1.573 7.222 5.551
2.825 2.825 5.713
2.825 5.971 1.797
5.971 2.825 1.797
5.971 5.971 5.713
7.222 1.573 5.551
7.222 7.222 1.958
```

=====

# 11
K3Er2InTe6 | GGA-PBE | relaxed

Output
Crystal system = monoclinic
ΔE_f (raw) = -1.104 eV/atom

```
K3Er2InTe6
1.0
3.865 -6.693 0.000
3.865 6.693 0.000
-2.577 0.000 8.255
K Er In Te
3 2 1 6
Cartesian
0.000 0.000 0.000
3.865 2.244 0.000
3.865 -2.244 0.000
2.576 4.465 4.127
2.576 -4.465 4.127
2.576 0.000 4.127
1.305 2.205 2.441
0.029 0.000 5.820
1.305 -2.205 2.441
3.848 2.205 5.814
5.123 0.000 2.435
3.848 -2.205 5.814
```

=====

# 12
La2Er2In | GGA-PBE | relaxed

Output
Energy of formation = -0.78 eV/f.u.
Fermi-level density of states = 1.08 states/eV per atom
Offset from the most stable computed form = 20 meV/atom
Crystal system = monoclinic

```
La2Er2In
1.0
6.124 -2.769 0.000
6.124 2.769 0.000
-2.499 0.000 9.353
La Er In
4 4 2
Cartesian
-0.540 0.000 3.140
1.874 0.000 0.477
7.874 0.000 8.876
10.288 0.000 6.213
3.194 0.000 4.150
5.460 0.000 1.454
4.288 0.000 7.899
6.554 0.000 5.203
1.312 0.000 6.804
8.436 0.000 2.550
```